The following is a meta-GGA SCAN calculation of a crystal of InNi2Sb relaxed with PBEsol, from the Alexandria database.

Cell and atoms, written as CIF:
```
data_InNi2Sb
_chemical_formula_sum 'In2 Ni4 Sb2'
_space_group_name_H-M_alt 'C 1 2/m 1'
_space_group_IT_number 12
_cell_length_a 7.7703
_cell_length_b 3.2540
_cell_length_c 5.3571
_cell_angle_alpha 90.00
_cell_angle_beta 102.98
_cell_angle_gamma 90.00
loop_
_space_group_symop_operation_xyz
'x,y,z'
'-x,-y,-z'
'-x,y,-z'
'x,-y,z'
'x+1/2,y+1/2,z'
'-x+1/2,-y+1/2,-z'
'-x+1/2,y+1/2,-z'
'x+1/2,-y+1/2,z'
loop_
_atom_site_label
_atom_site_type_symbol
_atom_site_fract_x
_atom_site_fract_y
_atom_site_fract_z
_atom_site_occupancy
In1 In 0.0000 0.0000 0.0000 1
Ni1 Ni 0.2471 0.0000 0.7285 1
Sb1 Sb 0.0000 0.5000 0.5000 1
```

Values from the calculation:
E_form (uncorrected) (eV/atom): 0.1272
Total DFT energy (no corrections) (eV/cell): -204.97

=====

The following is a meta-GGA SCAN calculation of a crystal of InNiSb2 relaxed with PBEsol, from the Alexandria database.

Cell and atoms, written as CIF:
```
data_InNiSb2
_chemical_formula_sum 'In1 Ni1 Sb2'
_space_group_name_H-M_alt 'P m m m'
_space_group_IT_number 47
_cell_length_a 4.1169
_cell_length_b 4.1424
_cell_length_c 5.0466
_cell_angle_alpha 90.00
_cell_angle_beta 90.00
_cell_angle_gamma 90.00
loop_
_space_group_symop_operation_xyz
'x,y,z'
'-x,-y,-z'
'-x,-y,z'
'x,y,-z'
'x,-y,-z'
'-x,y,z'
'-x,y,-z'
'x,-y,z'
loop_
_atom_site_label
_atom_site_type_symbol
_atom_site_fract_x
_atom_site_fract_y
_atom_site_fract_z
_atom_site_occupancy
In1 In 0.0000 0.0000 0.0000 1
Ni1 Ni 0.0000 0.5000 0.5000 1
Sb1 Sb 0.5000 0.0000 0.5000 1
Sb2 Sb 0.5000 0.5000 0.0000 1
```

Values from the calculation:
E_form (uncorrected) (eV/atom): 0.4368
Total DFT energy (no corrections) (eV/cell): -122.33

=====

The following is a meta-GGA SCAN calculation of a crystal of InNi6Sb relaxed with PBEsol, from the Alexandria database.

Cell and atoms, written as CIF:
```
data_InNi6Sb
_chemical_formula_sum 'In8 Ni48 Sb8'
_space_group_name_H-M_alt 'C m m m'
_space_group_IT_number 65
_space_group_name_Hall '-C 2 2'
_cell_length_a 7.3493
_cell_length_b 10.3890
_cell_length_c 10.3877
_cell_angle_alpha 90.00
_cell_angle_beta 90.00
_cell_angle_gamma 90.00
loop_
_atom_site_label
_atom_site_type_symbol
_atom_site_fract_x
_atom_site_fract_y
_atom_site_fract_z
_atom_site_occupancy
In1 In 0.0000 0.0000 0.2479 1
In2 In 0.0000 0.2480 0.0000 1
Ni1 Ni 0.0000 0.0000 0.0000 1
Ni2 Ni 0.0000 0.0000 0.5000 1
Ni3 Ni 0.0000 0.2499 0.2529 1
Ni4 Ni 0.0000 0.5000 0.0000 1
Ni5 Ni 0.0000 0.5000 0.5000 1
Ni6 Ni 0.2478 0.3746 0.1263 1
Ni7 Ni 0.2479 0.3754 0.3761 1
Sb1 Sb 0.0000 0.2482 0.5000 1
Sb2 Sb 0.0000 0.5000 0.2464 1
```

Values from the calculation:
E_form (uncorrected) (eV/atom): -0.0671
Total DFT energy (no corrections) (eV/cell): -1345.79

=====

The following is a meta-GGA SCAN calculation of a crystal of InNiSb relaxed with PBEsol, from the Alexandria database.

Cell and atoms, written as CIF:
```
data_InNiSb
_chemical_formula_sum 'In2 Ni2 Sb2'
_space_group_name_H-M_alt 'I 4 m m'
_space_group_IT_number 107
_space_group_name_Hall 'I 4 -2'
_cell_length_a 3.0997
_cell_length_b 3.0997
_cell_length_c 12.1633
_cell_angle_alpha 90.00
_cell_angle_beta 90.00
_cell_angle_gamma 90.00
loop_
_atom_site_label
_atom_site_type_symbol
_atom_site_fract_x
_atom_site_fract_y
_atom_site_fract_z
_atom_site_occupancy
In1 In 0.0000 0.0000 0.0000 1
Ni1 Ni 0.0000 0.0000 0.6408 1
Sb1 Sb 0.0000 0.0000 0.2658 1
```

Values from the calculation:
E_form (uncorrected) (eV/atom): 0.0703
Total DFT energy (no corrections) (eV/cell): -173.22

=====

The following is a meta-GGA SCAN calculation of a crystal of ScInNi2 relaxed with PBEsol, from the Alexandria database.

Cell and atoms, written as CIF:
```
data_ScInNi2
_chemical_formula_sum 'Sc1 In1 Ni2'
_space_group_name_H-M_alt 'P 4/m m m'
_space_group_IT_number 123
_space_group_name_Hall '-P 4 2'
_cell_length_a 4.3218
_cell_length_b 4.3218
_cell_length_c 3.2009
_cell_angle_alpha 90.00
_cell_angle_beta 90.00
_cell_angle_gamma 90.00
loop_
_atom_site_label
_atom_site_type_symbol
_atom_site_fract_x
_atom_site_fract_y
_atom_site_fract_z
_atom_site_occupancy
Sc1 Sc 0.0000 0.0000 0.0000 1
In1 In 0.5000 0.5000 0.0000 1
Ni1 Ni 0.0000 0.5000 0.5000 1
```

Values from the calculation:
Calculated formation energy (eV/atom): -0.35
Total DFT energy (no corrections) (eV/cell): -81.36

=====

The following is a meta-GGA SCAN calculation of a crystal of ScInNi2 relaxed with PBEsol, from the Alexandria database.

Cell and atoms, written as CIF:
```
data_ScInNi2
_chemical_formula_sum 'Sc2 In2 Ni4'
_space_group_name_H-M_alt 'A m m 2'
_space_group_IT_number 38
_cell_length_a 3.8708
_cell_length_b 3.4349
_cell_length_c 9.3918
_cell_angle_alpha 90.00
_cell_angle_beta 90.00
_cell_angle_gamma 90.00
loop_
_space_group_symop_operation_xyz
'x,y,z'
'-x,-y,z'
'-x,y,z'
'x,-y,z'
'x,y+1/2,z+1/2'
'-x,-y+1/2,z+1/2'
'-x,y+1/2,z+1/2'
'x,-y+1/2,z+1/2'
loop_
_atom_site_label
_atom_site_type_symbol
_atom_site_fract_x
_atom_site_fract_y
_atom_site_fract_z
_atom_site_occupancy
Sc1 Sc 0.0000 0.0000 0.0000 1
In1 In 0.5000 0.0000 0.7059 1
Ni1 Ni 0.0000 0.0000 0.2825 1
Ni2 Ni 0.5000 0.0000 0.4289 1
```

Values from the calculation:
Calculated formation energy (eV/atom): -0.39
Total DFT energy (no corrections) (eV/cell): -163.05

=====

The following is a meta-GGA SCAN calculation of a crystal of ScIn2Ni relaxed with PBEsol, from the Alexandria database.

Cell and atoms, written as CIF:
```
data_ScIn2Ni
_chemical_formula_sum 'Sc1 In2 Ni1'
_space_group_name_H-M_alt 'P 4/m m m'
_space_group_IT_number 123
_space_group_name_Hall '-P 4 2'
_cell_length_a 4.1614
_cell_length_b 4.1614
_cell_length_c 4.2361
_cell_angle_alpha 90.00
_cell_angle_beta 90.00
_cell_angle_gamma 90.00
loop_
_atom_site_label
_atom_site_type_symbol
_atom_site_fract_x
_atom_site_fract_y
_atom_site_fract_z
_atom_site_occupancy
Sc1 Sc 0.0000 0.0000 0.0000 1
In1 In 0.0000 0.5000 0.5000 1
Ni1 Ni 0.5000 0.5000 0.0000 1
```

Values from the calculation:
Calculated formation energy (eV/atom): -0.28
Total DFT energy (no corrections) (eV/cell): -98.29

=====

The following is a meta-GGA SCAN calculation of a crystal of ScIn2Ni relaxed with PBEsol, from the Alexandria database.

Cell and atoms, written as CIF:
```
data_ScIn2Ni
_chemical_formula_sum 'Sc1 In2 Ni1'
_space_group_name_H-M_alt 'P 4/m m m'
_space_group_IT_number 123
_space_group_name_Hall '-P 4 2'
_cell_length_a 3.1589
_cell_length_b 3.1589
_cell_length_c 7.2532
_cell_angle_alpha 90.00
_cell_angle_beta 90.00
_cell_angle_gamma 90.00
loop_
_atom_site_label
_atom_site_type_symbol
_atom_site_fract_x
_atom_site_fract_y
_atom_site_fract_z
_atom_site_occupancy
Sc1 Sc 0.0000 0.0000 0.0000 1
In1 In 0.5000 0.5000 0.2902 1
Ni1 Ni 0.0000 0.0000 0.5000 1
```

Values from the calculation:
Calculated formation energy (eV/atom): -0.32
Total DFT energy (no corrections) (eV/cell): -98.46

=====

Number 1: D(E_F) 5.03 states/eV per cell, mass density 8.91 g cm⁻³. Number 2: D(E_F) 2.48 states/eV per cell, mass density 8.05 g cm⁻³. Number 3: D(E_F) 52.26 states/eV per cell, mass density 9.86 g cm⁻³. Number 4: D(E_F) 2.83 states/eV per cell, mass density 8.39 g cm⁻³. Number 5: D(E_F) 2.25 states/eV per cell, mass density 7.70 g cm⁻³. Number 6: D(E_F) 3.25 states/eV per cell, mass density 7.37 g cm⁻³. Number 7: D(E_F) 2.98 states/eV per cell, mass density 7.54 g cm⁻³. Number 8: D(E_F) 2.29 states/eV per cell, mass density 7.65 g cm⁻³.